Entry 1:
# Y2HoErSe4, optimized geometry, DFT PBE
data_Y2HoErSe4
_chemical_formula_sum 'Y2 Ho1 Er1 Se4'
_space_group_name_H-M_alt 'P 1 2/m 1'
_space_group_IT_number 10
_space_group_name_Hall '-P 2y'
_cell_length_a 7.066
_cell_length_b 4.019
_cell_length_c 7.078
_cell_angle_alpha 90.00
_cell_angle_beta 108.88
_cell_angle_gamma 90.00
loop_
_atom_site_label
_atom_site_type_symbol
_atom_site_fract_x
_atom_site_fract_y
_atom_site_fract_z
Y1 Y 0.000 0.000 0.000
Y2 Y 0.500 0.500 0.000
Ho1 Ho 0.000 0.500 0.500
Er1 Er 0.500 0.000 0.500
Se1 Se 0.250 0.000 0.746
Se2 Se 0.252 0.500 0.254
# Fermi-level density of states   4.8 states/eV/f.u.
# Total energy   -6.24 eV/atom

=====

Entry 2:
# YHo2Er3Se6, optimized geometry, DFT PBE
data_YHo2Er3Se6
_chemical_formula_sum 'Y2 Ho4 Er6 Se12'
_space_group_name_H-M_alt 'C 1 2/m 1'
_space_group_IT_number 12
_space_group_name_Hall '-C 2y'
_cell_length_a 17.658
_cell_length_b 4.040
_cell_length_c 8.134
_cell_angle_alpha 90.00
_cell_angle_beta 103.63
_cell_angle_gamma 90.00
loop_
_atom_site_label
_atom_site_type_symbol
_atom_site_fract_x
_atom_site_fract_y
_atom_site_fract_z
Y1 Y 0.000 0.000 0.000
Ho1 Ho 0.166 0.500 0.332
Er1 Er 0.000 0.000 0.500
Er2 Er 0.166 0.500 0.833
Se1 Se 0.000 0.500 0.253
Se2 Se 0.166 0.000 0.584
Se3 Se 0.168 0.000 0.082
# Fermi-level density of states   5.6 states/eV/f.u.
# Total energy   -5.90 eV/atom

=====

What did the first record say?
# Y2HoErSe4, optimized geometry, DFT PBE
data_Y2HoErSe4
_chemical_formula_sum 'Y2 Ho1 Er1 Se4'
_space_group_name_H-M_alt 'P 1 2/m 1'
_space_group_IT_number 10
_space_group_name_Hall '-P 2y'
_cell_length_a 7.066
_cell_length_b 4.019
_cell_length_c 7.078
_cell_angle_alpha 90.00
_cell_angle_beta 108.88
_cell_angle_gamma 90.00
loop_
_atom_site_label
_atom_site_type_symbol
_atom_site_fract_x
_atom_site_fract_y
_atom_site_fract_z
Y1 Y 0.000 0.000 0.000
Y2 Y 0.500 0.500 0.000
Ho1 Ho 0.000 0.500 0.500
Er1 Er 0.500 0.000 0.500
Se1 Se 0.250 0.000 0.746
Se2 Se 0.252 0.500 0.254
# Fermi-level density of states   4.8 states/eV/f.u.
# Total energy   -6.24 eV/atom